Record 1
Compound: SrCu2
Source: Alexandria
Functional: GGA-PBE
Structure: relaxed

a b c (Å): 8.0314 8.0314 8.0314
angles (deg): 149.20 149.20 44.12
Fractional coordinates of all 6 atoms:
Cu  0.5828  0.5828  0.0000
Cu  0.6672  0.1672  0.5000
Cu  0.4172  0.4172  0.0000
Cu  0.8328  0.3328  0.5000
Sr  0.0000  0.0000  0.0000
Sr  0.2500  0.7500  0.5000

space group = I4_1/amd

=====

Record 2
Compound: SrCu2
Source: Alexandria
Functional: GGA-PBE
Structure: relaxed

a b c (Å): 3.5897 3.5897 5.2072
angles (deg): 90.00 90.00 90.00
Fractional coordinates of all 3 atoms:
Cu  0.0000  0.5000  0.5000
Cu  0.5000  0.0000  0.5000
Sr  0.0000  0.0000  0.0000

space group = P4/mmm

=====

Record 3
Compound: Sr3Cu
Source: Alexandria
Functional: GGA-PBE
Structure: relaxed

a b c (Å): 6.9892 6.9892 6.9892
angles (deg): 136.23 136.23 63.62
Fractional coordinates of all 4 atoms:
Cu  0.0000  0.0000  0.0000
Sr  0.2500  0.7500  0.5000
Sr  0.5000  0.5000  0.0000
Sr  0.7500  0.2500  0.5000

space group = I4/mmm

=====

Record 4
Compound: Sr3Cu11
Source: Alexandria
Functional: GGA-PBE
Structure: relaxed

a b c (Å): 4.1609 8.2613 8.2613
angles (deg): 74.42 75.41 75.41
Fractional coordinates of all 14 atoms:
Sr  0.0000  0.0000  0.0000
Sr  0.3077  0.6923  0.6923
Sr  0.6923  0.3077  0.3077
Cu  0.6951  0.6037  0.0061
Cu  0.8954  0.3870  0.8223
Cu  0.6951  0.0061  0.6037
Cu  0.5000  0.2753  0.7247
Cu  0.1046  0.1777  0.6130
Cu  0.0000  0.5000  0.5000
Cu  0.8954  0.8223  0.3870
Cu  0.5000  0.7247  0.2753
Cu  0.3049  0.9939  0.3963
Cu  0.1046  0.6130  0.1777
Cu  0.3049  0.3963  0.9939

space group = Immm

=====

Record 5
Compound: SrTa2Cu
Source: Alexandria
Functional: GGA-PBE
Structure: relaxed

a b c (Å): 9.5993 9.5993 9.5993
angles (deg): 19.62 19.62 19.62
Each line ends with the local moment (μB).
Fractional coordinates of all 4 atoms:
Cu  0.5127  0.5127  0.5127  0.02
Sr  0.7559  0.7559  0.7559  0.07
Ta  0.9847  0.9847  0.9847  0.28
Ta  0.2467  0.2467  0.2467  0.25

ΔE to the lowest computed polymorph = 23.43 kJ per mole of atoms
space group = R3m

=====

Record 6
Compound: Sr2TaCu
Source: Alexandria
Functional: GGA-PBE
Structure: relaxed

a b c (Å): 6.7287 6.7287 5.5462
angles (deg): 65.67 65.67 29.74
Each line ends with the local moment (μB).
Fractional coordinates of all 4 atoms:
Cu  0.2170  0.2170  0.2829  0.07
Sr  0.9642  0.9642  0.0359  0.05
Sr  0.7598  0.7598  0.7403  0.01
Ta  0.5591  0.5591  0.4410  0.71

ΔE to the lowest computed polymorph = 12.75 kJ per mole of atoms
space group = Imm2

=====

Record 7
Compound: SrTaCu2
Source: Alexandria
Functional: GGA-PBE
Structure: relaxed

a b c (Å): 4.7274 4.7274 4.7274
angles (deg): 60.00 60.00 60.00
Each line ends with the local moment (μB).
Fractional coordinates of all 4 atoms:
Cu  0.0000  0.0000  0.0000  0.04
Cu  0.7500  0.7500  0.7500  0.01
Sr  0.5000  0.5000  0.5000  0.07
Ta  0.2500  0.2500  0.2500  0.76

ΔE to the lowest computed polymorph = 71.16 kJ per mole of atoms
space group = F-43m

=====

Record 8
Compound: SrTa2Cu
Source: Alexandria
Functional: GGA-PBE
Structure: relaxed

a b c (Å): 2.9969 2.9969 9.1244
angles (deg): 90.00 90.00 90.00
Fractional coordinates of all 4 atoms:
Cu  0.0000  0.0000  0.4609
Sr  0.5000  0.5000  0.7225
Ta  0.0000  0.0000  0.0427
Ta  0.5000  0.5000  0.2739

ΔE to the lowest computed polymorph = 7.64 kJ per mole of atoms
space group = P4mm

=====

Per-record calculated total energy, eV per cell: -20.21 -9.38 -8.06 -50.67 -26.78 -16.78 -17.72 -27.44